Run i
! Sr2Zr (PBE-GGA, relaxed); values from VASP
! Spin magnetization   0.00 μB per atom
&SYSTEM
  ibrav = 0, nat = 6, ntyp = 2
/
ATOMIC_SPECIES
Sr 87.62 Sr.upf
Zr 91.22 Zr.upf
ATOMIC_POSITIONS crystal
Sr 0.4145 0.5855 0.7500
Sr 0.5855 0.4145 0.2500
Sr 0.7934 0.2066 0.7500
Sr 0.2066 0.7934 0.2500
Zr 0.0358 0.9642 0.7500
Zr 0.9642 0.0358 0.2500
CELL_PARAMETERS angstrom
3.1800 -8.3284 0.0000
3.1800 8.3284 0.0000
0.0000 0.0000 4.7082

***

Run ii
! Sr2Zr (PBE-GGA, relaxed); values from VASP
! Spin magnetization   0.27 μB per atom
&SYSTEM
  ibrav = 0, nat = 6, ntyp = 2
/
ATOMIC_SPECIES
Sr 87.62 Sr.upf
Zr 91.22 Zr.upf
ATOMIC_POSITIONS crystal
Sr 0.9881 0.9881 0.6909
Sr 0.3359 0.3359 0.1076
Sr 0.6641 0.6641 0.8923
Sr 0.0119 0.0119 0.3091
Zr 0.7080 0.7080 0.4276
Zr 0.2920 0.2920 0.5724
CELL_PARAMETERS angstrom
1.9121 6.5689 -0.0697
-1.9121 6.5689 -0.0697
0.0000 3.8884 9.5332

***

Run iii
! Sr2Zr (PBE-GGA, relaxed); values from VASP
! Spin magnetization   0.00 μB per atom
&SYSTEM
  ibrav = 0, nat = 6, ntyp = 2
/
ATOMIC_SPECIES
Sr 87.62 Sr.upf
Zr 91.22 Zr.upf
ATOMIC_POSITIONS crystal
Sr 0.6390 0.3610 0.7500
Sr 0.9403 0.0597 0.7500
Sr 0.0597 0.9403 0.2500
Sr 0.3610 0.6390 0.2500
Zr 0.2725 0.7275 0.7500
Zr 0.7275 0.2725 0.2500
CELL_PARAMETERS angstrom
4.7950 2.9093 -9.6717
-6.1975 0.4346 9.2951
4.3501 2.1398 2.8004

***

Run iv
! Sr2Zr (PBE-GGA, relaxed); values from VASP
! Spin magnetization   0.24 μB per atom
&SYSTEM
  ibrav = 0, nat = 6, ntyp = 2
/
ATOMIC_SPECIES
Sr 87.62 Sr.upf
Zr 91.22 Zr.upf
ATOMIC_POSITIONS crystal
Sr 0.8342 0.8342 0.1066
Sr 0.1207 0.1207 0.4362
Sr 0.1658 0.1658 0.8934
Sr 0.8793 0.8793 0.5638
Zr 0.4958 0.4958 0.8247
Zr 0.5042 0.5042 0.1753
CELL_PARAMETERS angstrom
-6.9359 -2.7467 4.1692
-4.4280 -5.3890 4.9382
0.7721 2.8924 7.4199

***

Of them, run iii has the lowest stability.

***

Run i
! Sr2Zr (PBE-GGA, relaxed); values from VASP
! Spin magnetization   0.08 μB per atom
&SYSTEM
  ibrav = 0, nat = 6, ntyp = 2
/
ATOMIC_SPECIES
Sr 87.62 Sr.upf
Zr 91.22 Zr.upf
ATOMIC_POSITIONS crystal
Sr 0.9734 0.9734 0.0017
Sr 0.3996 0.3996 0.4022
Sr 0.6320 0.6320 0.6368
Sr 0.6881 0.6881 0.2020
Zr 0.8861 0.8861 0.7041
Zr 0.2541 0.2541 0.8866
CELL_PARAMETERS angstrom
3.1863 -3.0799 5.2232
3.7043 0.5140 5.7388
-7.3868 0.0699 6.9322

***

Run ii
! Sr2Zr (PBE-GGA, relaxed); values from VASP
! Spin magnetization   0.00 μB per atom
&SYSTEM
  ibrav = 0, nat = 3, ntyp = 2
/
ATOMIC_SPECIES
Sr 87.62 Sr.upf
Zr 91.22 Zr.upf
ATOMIC_POSITIONS crystal
Sr 0.3522 0.3522 0.0000
Sr 0.6478 0.6478 0.0000
Zr 0.0000 0.0000 0.0000
CELL_PARAMETERS angstrom
-1.5151 -4.2293 7.5118
3.6377 -4.1930 6.7672
-0.8892 6.4596 -5.8388

***

Of them, run ii has the lowest stability.

***

Run i
! Sr2Zr (PBE-GGA, relaxed); values from VASP
! Spin magnetization   0.28 μB per atom
&SYSTEM
  ibrav = 0, nat = 3, ntyp = 2
/
ATOMIC_SPECIES
Sr 87.62 Sr.upf
Zr 91.22 Zr.upf
ATOMIC_POSITIONS crystal
Sr 0.0000 0.5000 0.5000
Sr 0.5000 0.0000 0.5000
Zr 0.0000 0.0000 0.0000
CELL_PARAMETERS angstrom
-0.9251 -2.3228 -5.5447
2.0611 -5.3925 1.9151
-3.3330 -0.9370 0.9486

***

Run ii
! Sr2Zr (PBE-GGA, relaxed); values from VASP
! Spin magnetization   0.67 μB per atom
&SYSTEM
  ibrav = 0, nat = 3, ntyp = 2
/
ATOMIC_SPECIES
Sr 87.62 Sr.upf
Zr 91.22 Zr.upf
ATOMIC_POSITIONS crystal
Sr 0.3413 0.3413 0.0000
Sr 0.6587 0.6587 0.0000
Zr 0.0000 0.0000 0.0000
CELL_PARAMETERS angstrom
-5.8005 1.9160 2.6015
-0.8229 0.4523 6.5729
3.3130 1.9793 -5.4029

***

Of them, run i has the lowest stability.

***

Run i
! Sr3Zr (PBE-GGA, relaxed); values from VASP
! Spin magnetization   0.44 μB per atom
&SYSTEM
  ibrav = 0, nat = 4, ntyp = 2
/
ATOMIC_SPECIES
Sr 87.62 Sr.upf
Zr 91.22 Zr.upf
ATOMIC_POSITIONS crystal
Sr 0.0000 0.0000 0.0000
Sr 0.5000 0.0000 0.5000
Sr 0.5000 0.5000 0.0000
Zr 0.0000 0.5000 0.5000
CELL_PARAMETERS angstrom
7.2660 0.0011 0.0039
-3.3196 6.4634 0.0039
-3.3196 -5.4376 3.4940

***

Run ii
! Sr3Zr (PBE-GGA, relaxed); values from VASP
! Spin magnetization   0.00 μB per atom
&SYSTEM
  ibrav = 0, nat = 4, ntyp = 2
/
ATOMIC_SPECIES
Sr 87.62 Sr.upf
Zr 91.22 Zr.upf
ATOMIC_POSITIONS crystal
Sr 0.7389 0.7389 0.7389
Sr 0.5000 0.5000 0.5000
Sr 0.2611 0.2611 0.2611
Zr 0.0000 0.0000 0.0000
CELL_PARAMETERS angstrom
13.0486 0.0083 0.0049
12.4818 3.8039 0.0049
12.4818 1.8638 3.3161

***

Run iii
! Sr3Zr (PBE-GGA, relaxed); values from VASP
! Spin magnetization   0.00 μB per atom
&SYSTEM
  ibrav = 0, nat = 4, ntyp = 2
/
ATOMIC_SPECIES
Sr 87.62 Sr.upf
Zr 91.22 Zr.upf
ATOMIC_POSITIONS crystal
Sr 0.0000 0.0000 0.0409
Sr 0.5000 0.5000 0.7500
Sr 0.0000 0.0000 0.4591
Zr 0.5000 0.5000 0.2500
CELL_PARAMETERS angstrom
-2.0082 3.1161 0.9592
-2.5258 -0.7724 -2.7725
-6.0877 -6.1583 7.2616

***

Of them, run i has the lowest stability.

***

Run i
! Sr3Zr (PBE-GGA, relaxed); values from VASP
! Spin magnetization   0.70 μB per atom
&SYSTEM
  ibrav = 0, nat = 4, ntyp = 2
/
ATOMIC_SPECIES
Sr 87.62 Sr.upf
Zr 91.22 Zr.upf
ATOMIC_POSITIONS crystal
Sr 0.2500 0.7500 0.5000
Sr 0.5000 0.5000 0.0000
Sr 0.7500 0.2500 0.5000
Zr 0.0000 0.0000 0.0000
CELL_PARAMETERS angstrom
6.7205 -0.0209 0.0000
2.1628 6.3630 0.0000
-4.4417 -3.1711 3.9219

***

Run ii
! Sr3Zr (PBE-GGA, relaxed); values from VASP
! Spin magnetization   0.60 μB per atom
&SYSTEM
  ibrav = 0, nat = 4, ntyp = 2
/
ATOMIC_SPECIES
Sr 87.62 Sr.upf
Zr 91.22 Zr.upf
ATOMIC_POSITIONS crystal
Sr 0.0000 0.0000 0.0306
Sr 0.5000 0.0000 0.4961
Sr 0.5000 0.5000 0.8207
Zr 0.0000 0.5000 0.3192
CELL_PARAMETERS angstrom
3.7948 0.0000 0.0000
0.0000 6.3013 0.0000
0.0000 0.0000 6.9393

***

Run iii
! Sr3Zr (PBE-GGA, relaxed); values from VASP
! Spin magnetization   0.67 μB per atom
&SYSTEM
  ibrav = 0, nat = 4, ntyp = 2
/
ATOMIC_SPECIES
Sr 87.62 Sr.upf
Zr 91.22 Zr.upf
ATOMIC_POSITIONS crystal
Sr 0.0000 0.5000 0.5000
Sr 0.5000 0.0000 0.5000
Sr 0.5000 0.5000 0.0000
Zr 0.0000 0.0000 0.0000
CELL_PARAMETERS angstrom
5.5266 0.0000 0.0000
0.0000 5.5266 0.0000
0.0000 0.0000 5.5266

***

Of them, run iii has the lowest stability.

***

Run i
! Sr3Zr (PBE-GGA, relaxed); values from VASP
! Spin magnetization   0.56 μB per atom
&SYSTEM
  ibrav = 0, nat = 4, ntyp = 2
/
ATOMIC_SPECIES
Sr 87.62 Sr.upf
Zr 91.22 Zr.upf
ATOMIC_POSITIONS crystal
Sr 0.7465 0.7324 0.0141
Sr 0.2818 0.2676 0.0141
Sr 0.1451 0.5000 0.6451
Zr 0.6600 0.0000 0.6600
CELL_PARAMETERS angstrom
7.4866 0.0068 -0.0063
3.4146 6.6626 0.0063
-4.4091 -5.0372 3.3521

***

Run ii
! Sr3Zr (PBE-GGA, relaxed); values from VASP
! Spin magnetization   0.42 μB per atom
&SYSTEM
  ibrav = 0, nat = 4, ntyp = 2
/
ATOMIC_SPECIES
Sr 87.62 Sr.upf
Zr 91.22 Zr.upf
ATOMIC_POSITIONS crystal
Sr 0.0000 0.0000 0.0000
Sr 0.2500 0.2500 0.2500
Sr 0.5000 0.5000 0.5000
Zr 0.7500 0.7500 0.7500
CELL_PARAMETERS angstrom
6.1586 0.0000 0.0000
3.0793 5.3335 0.0000
3.0793 1.7778 5.0285

***

Run iii
! Sr3Zr (PBE-GGA, relaxed); values from VASP
! Spin magnetization   0.32 μB per atom
&SYSTEM
  ibrav = 0, nat = 8, ntyp = 2
/
ATOMIC_SPECIES
Sr 87.62 Sr.upf
Zr 91.22 Zr.upf
ATOMIC_POSITIONS crystal
Sr 0.1568 0.1568 0.7500
Sr 0.8432 0.8432 0.2500
Sr 0.1578 0.5954 0.7500
Sr 0.8422 0.4046 0.2500
Sr 0.5954 0.1578 0.7500
Sr 0.4046 0.8422 0.2500
Zr 0.4168 0.4168 0.2500
Zr 0.5832 0.5832 0.7500
CELL_PARAMETERS angstrom
6.4807 -6.6065 0.0000
6.4807 6.6065 0.0000
0.0000 0.0000 4.0920

***

Of them, run ii has the lowest stability.

***

Run i
! Sr3Zr (PBE-GGA, relaxed); values from VASP
! Spin magnetization   0.59 μB per atom
&SYSTEM
  ibrav = 0, nat = 4, ntyp = 2
/
ATOMIC_SPECIES
Sr 87.62 Sr.upf
Zr 91.22 Zr.upf
ATOMIC_POSITIONS crystal
Sr 0.5000 0.5000 0.5000
Sr 0.2630 0.2630 0.2302
Sr 0.7370 0.7370 0.7698
Zr 0.0000 0.0000 0.0000
CELL_PARAMETERS angstrom
6.7409 -0.0037 0.0348
5.6528 3.6722 0.0348
1.1715 0.3468 6.7656

***

Run ii
! Sr3Zr (PBE-GGA, relaxed); values from VASP
! Spin magnetization   0.00 μB per atom
&SYSTEM
  ibrav = 0, nat = 4, ntyp = 2
/
ATOMIC_SPECIES
Sr 87.62 Sr.upf
Zr 91.22 Zr.upf
ATOMIC_POSITIONS crystal
Sr 0.0000 0.0000 0.9673
Sr 0.0000 0.0000 0.5327
Sr 0.6667 0.3333 0.2500
Zr 0.6667 0.3333 0.7500
CELL_PARAMETERS angstrom
-3.2303 -2.0560 0.3357
2.0147 -0.1066 -3.2717
6.7483 -9.8715 4.4774

***

Of them, run i has the lowest stability.

***

Run i
! Sr4Zr5 (PBE-GGA, relaxed); values from VASP
! Spin magnetization   0.00 μB per atom
&SYSTEM
  ibrav = 0, nat = 9, ntyp = 2
/
ATOMIC_SPECIES
Sr 87.62 Sr.upf
Zr 91.22 Zr.upf
ATOMIC_POSITIONS crystal
Sr 0.6877 0.0000 0.6877
Sr 0.3123 0.0000 0.3123
Sr 0.0000 0.3123 0.3123
Sr 0.0000 0.6877 0.6877
Zr 0.0000 0.0000 0.0000
Zr 0.6366 0.3634 0.0000
Zr 0.3634 0.6366 0.0000
Zr 0.3634 0.3634 0.7268
Zr 0.6366 0.6366 0.2732
CELL_PARAMETERS angstrom
-5.4442 5.4442 2.4970
5.4442 -5.4442 2.4970
5.4442 5.4442 -2.4970

***

Run ii
! Sr4Zr5 (PBE-GGA, relaxed); values from VASP
! Spin magnetization   0.22 μB per atom
&SYSTEM
  ibrav = 0, nat = 18, ntyp = 2
/
ATOMIC_SPECIES
Sr 87.62 Sr.upf
Zr 91.22 Zr.upf
ATOMIC_POSITIONS crystal
Sr 0.0000 0.0000 0.0000
Sr 0.0000 0.0000 0.5000
Sr 0.0000 0.3082 0.2500
Sr 0.6918 0.6918 0.2500
Sr 0.3082 0.0000 0.2500
Sr 0.0000 0.6918 0.7500
Sr 0.3082 0.3082 0.7500
Sr 0.6918 0.0000 0.7500
Zr 0.0000 0.6150 0.2500
Zr 0.3850 0.3850 0.2500
Zr 0.6150 0.0000 0.2500
Zr 0.0000 0.3850 0.7500
Zr 0.6150 0.6150 0.7500
Zr 0.3850 0.0000 0.7500
Zr 0.6667 0.3333 0.0000
Zr 0.3333 0.6667 0.5000
Zr 0.3333 0.6667 0.0000
Zr 0.6667 0.3333 0.5000
CELL_PARAMETERS angstrom
9.7132 0.0000 0.0000
-4.8566 8.4119 0.0000
0.0000 0.0000 6.6520

***

Of them, run ii has the lowest stability.

***

Run i
! TbZr2Ta (PBE-GGA, relaxed); values from VASP
! Spin magnetization   0.00 μB per atom
&SYSTEM
  ibrav = 0, nat = 4, ntyp = 3
/
ATOMIC_SPECIES
Tb 158.93 Tb.upf
Zr 91.22 Zr.upf
Ta 180.95 Ta.upf
ATOMIC_POSITIONS crystal
Tb 0.0000 0.0000 0.0000
Zr 0.0948 0.0948 0.7156
Zr 0.9052 0.9052 0.2844
Ta 0.5000 0.5000 0.5000
CELL_PARAMETERS angstrom
-2.8807 -1.2861 -0.3021
-1.3746 -1.4093 2.4835
-6.0290 8.7427 3.6464

***

Run ii
! TbZr2Ta (PBE-GGA, relaxed); values from VASP
! Spin magnetization   0.00 μB per atom
&SYSTEM
  ibrav = 0, nat = 4, ntyp = 3
/
ATOMIC_SPECIES
Tb 158.93 Tb.upf
Zr 91.22 Zr.upf
Ta 180.95 Ta.upf
ATOMIC_POSITIONS crystal
Tb 0.5000 0.5000 0.5000
Zr 0.0000 0.0000 0.7950
Zr 0.0000 0.0000 0.2050
Ta 0.5000 0.5000 0.0000
CELL_PARAMETERS angstrom
-2.1205 2.1867 -1.9338
-2.8149 -0.8986 2.0705
1.5681 5.5273 4.5308

***

Of them, run i has the lowest stability.

***

Run i
! Ta4Tc (PBE-GGA, relaxed); values from VASP
! Spin magnetization   0.00 μB per atom
&SYSTEM
  ibrav = 0, nat = 5, ntyp = 2
/
ATOMIC_SPECIES
Ta 180.95 Ta.upf
Tc 98.00 Tc.upf
ATOMIC_POSITIONS crystal
Ta 0.2500 0.7500 0.5000
Ta 0.5907 0.5907 0.0000
Ta 0.4093 0.4093 0.0000
Ta 0.7500 0.2500 0.5000
Tc 0.0000 0.0000 0.0000
CELL_PARAMETERS angstrom
-3.3270 5.9496 3.9684
-0.7016 7.8561 0.0632
-0.0479 -7.0752 -3.4863

***

Run ii
! Ta4Tc (PBE-GGA, relaxed); values from VASP
! Spin magnetization   0.00 μB per atom
&SYSTEM
  ibrav = 0, nat = 5, ntyp = 2
/
ATOMIC_SPECIES
Ta 180.95 Ta.upf
Tc 98.00 Tc.upf
ATOMIC_POSITIONS crystal
Ta 0.5000 0.0000 0.0000
Ta 0.5000 0.5000 0.5000
Ta 0.0000 0.5000 0.0000
Ta 0.0000 0.0000 0.5000
Tc 0.0000 0.0000 0.0000
CELL_PARAMETERS angstrom
1.3683 -4.8065 -1.3231
-5.1562 0.3552 0.1103
1.8838 3.3432 -3.4640

***

Run iii
! Ta4Tc (PBE-GGA, relaxed); values from VASP
! Spin magnetization   0.00 μB per atom
&SYSTEM
  ibrav = 0, nat = 10, ntyp = 2
/
ATOMIC_SPECIES
Ta 180.95 Ta.upf
Tc 98.00 Tc.upf
ATOMIC_POSITIONS crystal
Ta 0.6784 0.3789 0.2995
Ta 0.0794 0.3789 0.7005
Ta 0.1289 0.3294 0.2005
Ta 0.1289 0.9284 0.7995
Ta 0.6706 0.8711 0.7995
Ta 0.0716 0.8711 0.2005
Ta 0.6211 0.9206 0.2995
Ta 0.6211 0.3216 0.7005
Tc 0.5000 0.5000 0.0000
Tc 0.2500 0.7500 0.5000
CELL_PARAMETERS angstrom
-5.2715 0.9321 3.5145
4.3782 -4.3775 1.6366
3.1474 5.5581 0.4582

***

Of them, run ii has the lowest stability.

***

Run i
! Ta4Tc (PBE-GGA, relaxed); values from VASP
! Spin magnetization   0.00 μB per atom
&SYSTEM
  ibrav = 0, nat = 5, ntyp = 2
/
ATOMIC_SPECIES
Tc 98.00 Tc.upf
Ta 180.95 Ta.upf
ATOMIC_POSITIONS crystal
Tc 0.5000 0.5000 0.5000
Ta 0.0000 0.0000 0.0000
Ta 0.5000 0.0000 0.5000
Ta 0.0000 0.5000 0.5000
Ta 0.5000 0.5000 0.0000
CELL_PARAMETERS angstrom
4.7480 0.0000 0.0000
0.0000 4.7480 0.0000
0.0000 0.0000 4.7480

***

Run ii
! Ta4Tc (PBE-GGA, relaxed); values from VASP
! Spin magnetization   0.00 μB per atom
&SYSTEM
  ibrav = 0, nat = 5, ntyp = 2
/
ATOMIC_SPECIES
Ta 180.95 Ta.upf
Tc 98.00 Tc.upf
ATOMIC_POSITIONS crystal
Ta 0.2086 0.1977 0.6149
Ta 0.5937 0.6149 0.8023
Ta 0.7914 0.8023 0.3851
Ta 0.4063 0.3851 0.1977
Tc 0.0000 0.0000 0.0000
CELL_PARAMETERS angstrom
3.2009 0.0000 0.0000
1.6005 5.2155 0.0000
-1.6005 0.0000 5.2155

***

Of them, run i has the lowest stability.